(1)
First-principles (GGA-PBE) data for an optimized crystal structure of LiCa2Ta, as listed in Alexandria via LeMat-Bulk.

Calculated values
ΔE_f   0.610 eV per atom
Energy above the most stable polymorph in this dataset   0.48 eV per formula unit
Total magnetic moment   1.3 μB per formula unit
Final energy   -3.832 eV/atom

The structure in CIF format:
```
data_LiCa2Ta
_cell_length_a 12.050
_cell_length_b 3.112
_cell_length_c 5.827
_cell_angle_alpha 90.00
_cell_angle_beta 107.37
_cell_angle_gamma 90.00
_space_group_name_H-M_alt 'C 1 m 1'
_space_group_IT_number 8
_space_group_name_Hall 'C -2y'
loop_
_atom_site_label
_atom_site_type_symbol
_atom_site_fract_x
_atom_site_fract_y
_atom_site_fract_z
_atom_site_occupancy
Li1 Li 0.000 0.000 0.000 1
Ca1 Ca 0.053 0.500 0.541 1
Ca2 Ca 0.262 0.500 0.153 1
Ta1 Ta 0.305 0.000 0.677 1
```

***

(2)
First-principles (GGA-PBE) data for an optimized crystal structure of MoOs2W, as listed in Alexandria via LeMat-Bulk.

Calculated values
ΔE_f   0.343 eV per atom
Energy above the most stable polymorph in this dataset   1.12 eV per formula unit
Total magnetic moment   0.0 μB per formula unit
Final energy   -11.218 eV/atom

The structure in CIF format:
```
data_MoOs2W
_cell_length_a 4.646
_cell_length_b 4.646
_cell_length_c 2.856
_cell_angle_alpha 90.00
_cell_angle_beta 90.00
_cell_angle_gamma 90.00
_space_group_name_H-M_alt 'P 4/m m m'
_space_group_IT_number 123
_space_group_name_Hall '-P 4 2'
loop_
_atom_site_label
_atom_site_type_symbol
_atom_site_fract_x
_atom_site_fract_y
_atom_site_fract_z
_atom_site_occupancy
Mo1 Mo 0.000 0.000 0.000 1
Os1 Os 0.000 0.500 0.500 1
W1 W 0.500 0.500 0.000 1
```

***

(3)
First-principles (GGA-PBE) data for an optimized crystal structure of Y8Tm3Th3, as listed in Alexandria via LeMat-Bulk.

Calculated values
ΔE_f   0.164 eV per atom
Total magnetic moment   0.0 μB per formula unit
Final energy   -6.078 eV/atom

The structure in CIF format:
```
data_Y8Tm3Th3
_cell_length_a 5.674
_cell_length_b 10.627
_cell_length_c 15.000
_cell_angle_alpha 90.00
_cell_angle_beta 90.00
_cell_angle_gamma 90.00
_space_group_name_H-M_alt 'I m m m'
_space_group_IT_number 71
_space_group_name_Hall '-I 2 2'
loop_
_atom_site_label
_atom_site_type_symbol
_atom_site_fract_x
_atom_site_fract_y
_atom_site_fract_z
_atom_site_occupancy
Y1 Y 0.000 0.158 0.222 1
Y2 Y 0.000 0.339 0.398 1
Tm1 Tm 0.000 0.000 0.000 1
Tm2 Tm 0.000 0.308 0.000 1
Th1 Th 0.000 0.000 0.500 1
Th2 Th 0.000 0.500 0.184 1
```

***

(4)
First-principles (GGA-PBE) data for an optimized crystal structure of LiNdCuAg, as listed in Alexandria via LeMat-Bulk.

Calculated values
ΔE_f   -0.096 eV per atom
Total magnetic moment   0.0 μB per formula unit
Final energy   -3.504 eV/atom

The structure in CIF format:
```
data_LiNdCuAg
_cell_length_a 6.978
_cell_length_b 6.978
_cell_length_c 6.978
_cell_angle_alpha 90.00
_cell_angle_beta 90.00
_cell_angle_gamma 90.00
_space_group_name_H-M_alt 'F -4 3 m'
_space_group_IT_number 216
_space_group_name_Hall 'F -4 2 3'
loop_
_atom_site_label
_atom_site_type_symbol
_atom_site_fract_x
_atom_site_fract_y
_atom_site_fract_z
_atom_site_occupancy
Li1 Li 0.000 0.000 0.000 1
Nd1 Nd 0.000 0.000 0.500 1
Cu1 Cu 0.250 0.250 0.750 1
Ag1 Ag 0.250 0.250 0.250 1
```

***

(5)
First-principles (GGA-PBE) data for an optimized crystal structure of Li3Ac3In2, as listed in Alexandria via LeMat-Bulk.

Calculated values
ΔE_f   -0.194 eV per atom
Total magnetic moment   0.0 μB per formula unit
Final energy   -3.137 eV/atom

The structure in CIF format:
```
data_Li3Ac3In2
_cell_length_a 9.373
_cell_length_b 16.451
_cell_length_c 6.329
_cell_angle_alpha 90.00
_cell_angle_beta 90.00
_cell_angle_gamma 90.00
_space_group_name_H-M_alt 'P n m a'
_space_group_IT_number 62
_space_group_name_Hall '-P 2ac 2n'
loop_
_atom_site_label
_atom_site_type_symbol
_atom_site_fract_x
_atom_site_fract_y
_atom_site_fract_z
_atom_site_occupancy
Li1 Li 0.160 0.250 0.093 1
Li2 Li 0.178 0.534 0.118 1
Ac1 Ac 0.053 0.606 0.630 1
Ac2 Ac 0.186 0.750 0.111 1
In1 In 0.106 0.101 0.862 1
```

***

(6)
First-principles (GGA-PBE) data for an optimized crystal structure of SrFe2Ru, as listed in Alexandria via LeMat-Bulk.

Calculated values
ΔE_f   0.730 eV per atom
Total magnetic moment   5.2 μB per formula unit
Final energy   -6.241 eV/atom

The structure in CIF format:
```
data_SrFe2Ru
_cell_length_a 2.875
_cell_length_b 4.974
_cell_length_c 9.666
_cell_angle_alpha 90.00
_cell_angle_beta 90.00
_cell_angle_gamma 90.00
_space_group_name_H-M_alt 'I m m 2'
_space_group_IT_number 44
_space_group_name_Hall 'I 2 -2'
loop_
_atom_site_label
_atom_site_type_symbol
_atom_site_fract_x
_atom_site_fract_y
_atom_site_fract_z
_atom_site_occupancy
Sr1 Sr 0.000 0.000 0.000 1
Fe1 Fe 0.000 0.000 0.499 1
Fe2 Fe 0.000 0.500 0.789 1
Ru1 Ru 0.000 0.500 0.214 1
```